# 1
Entry from the Alexandria database: a relaxed structure of Rb2AgMoBr6 (PBE).

Structure (extended XYZ):
```
10
Lattice="7.738 0.000 0.000 3.869 6.701 0.000 3.869 2.234 6.318" Properties=species:S:1:pos:R:3 pbc="T T T"
Rb 11.606 6.701 4.738
Rb 3.869 2.234 1.579
Ag 7.738 4.467 3.159
Mo 0.000 0.000 0.000
Br 7.738 2.141 1.514
Br 5.723 3.304 4.804
Br 7.738 6.794 4.804
Br 5.723 5.630 1.514
Br 9.752 3.304 4.804
Br 9.752 5.630 1.514
```

Properties
- Calculated volume: 327.6 Å³ per cell
- Uncorrected formation energy: -960 meV per atom
- Total magnetization: 3.00 μB per formula unit
- Total energy: -3.5250 eV per atom

---

# 2
Entry from the Alexandria database: a relaxed structure of CsMg2Zn (PBE).

Structure (extended XYZ):
```
8
Lattice="6.388 0.000 0.000 0.000 6.388 0.000 3.194 3.194 8.597" Properties=species:S:1:pos:R:3 pbc="T T T"
Cs 0.000 0.000 0.000
Cs 6.388 3.194 4.298
Zn 3.194 3.194 0.000
Zn 3.194 6.388 4.298
Mg 3.195 1.597 2.149
Mg 3.193 4.791 2.149
Mg 4.791 6.387 6.448
Mg 7.985 6.388 6.448
```

Properties
- Calculated volume: 350.8 Å³ per cell
- Total magnetization: 0.00 μB per formula unit
- Calculated formation energy: 0.28 eV/atom
- Total energy: -1.0448 eV per atom

---

# 3
Entry from the Alexandria database: a relaxed structure of Mg2HgPd2 (PBE).

Structure (extended XYZ):
```
10
Lattice="-1.074 -4.821 -5.952 7.656 -0.494 -0.982 0.090 -2.328 1.870" Properties=species:S:1:pos:R:3 pbc="T T T"
Mg 6.176 -2.143 -2.965
Mg 4.004 -4.448 -5.731
Mg 0.406 -3.172 -3.969
Mg 2.577 -0.867 -1.203
Hg 0.000 0.000 0.000
Hg 3.291 -2.657 -3.467
Pd 4.860 -2.209 -0.597
Pd 5.853 -4.718 -3.769
Pd 1.811 -5.434 -4.467
Pd 0.818 -2.925 -1.295
```

Properties
- Calculated volume: 178.7 Å³ per cell
- Total magnetization: 0.00 μB per formula unit
- Calculated formation energy: -0.44 eV/atom
- Total energy: -3.2166 eV per atom

---

# 4
Entry from the Alexandria database: a relaxed structure of TiCl (PBE).

Structure (extended XYZ):
```
16
Lattice="-4.153 5.199 7.325 -8.429 -5.045 -1.198 1.054 -2.288 2.222" Properties=species:S:1:pos:R:3 pbc="T T T"
Ti -2.717 1.488 2.821
Ti -9.865 -1.334 3.305
Ti -7.060 2.517 5.941
Ti -5.523 -2.363 0.186
Ti -8.481 0.421 6.995
Ti -3.047 -2.555 1.353
Ti -8.671 -3.749 2.790
Ti -2.858 1.615 5.558
Cl -7.709 -1.549 2.060
Cl -4.874 1.704 4.066
Cl -4.532 -0.546 1.587
Cl -8.050 0.700 4.539
Cl -5.044 2.429 7.433
Cl -6.485 -4.563 0.915
Cl -10.296 -1.613 5.761
Cl -1.232 -0.521 2.587
```

Properties
- Calculated volume: 328.9 Å³ per cell
- Uncorrected formation energy: -926 meV per atom
- Total magnetization: 0.00 μB per formula unit
- Total energy: -5.7969 eV per atom

---

# 5
Entry from the Alexandria database: a relaxed structure of LaBeSi3 (PBE).

Structure (extended XYZ):
```
5
Lattice="-3.717 -1.666 -3.755 1.427 -5.273 0.926 -3.852 -0.345 3.967" Properties=species:S:1:pos:R:3 pbc="T T T"
Be -3.072 -3.642 0.569
Si 0.713 -2.636 0.463
Si -1.926 -0.173 1.983
Si -1.859 -0.833 -1.878
La 0.000 0.000 0.000
```

Properties
- Calculated volume: 170.1 Å³ per cell
- Uncorrected formation energy: 1861 meV per atom
- Total magnetization: 0.00 μB per formula unit
- Total energy: -3.1235 eV per atom

---

# 6
Entry from the Alexandria database: a relaxed structure of NaLaRh4 (PBE).

Structure (extended XYZ):
```
6
Lattice="5.370 0.000 0.000 2.685 4.650 0.000 2.685 1.550 4.385" Properties=species:S:1:pos:R:3 pbc="T T T"
Na 0.000 0.000 0.000
Rh 5.370 3.100 0.545
Rh 5.370 1.547 2.741
Rh 6.715 3.877 2.741
Rh 4.025 3.877 2.741
La 2.685 1.550 1.096
```

Properties
- Calculated volume: 109.5 Å³ per cell
- Total magnetization: 0.00 μB per formula unit
- Calculated formation energy: -0.31 eV/atom
- Total energy: -6.2502 eV per atom

---

# 7
Entry from the Alexandria database: a relaxed structure of YPu2Si2Au2 (PBE).

Structure (extended XYZ):
```
7
Lattice="4.074 0.000 0.000 2.037 3.528 0.000 2.037 1.176 9.411" Properties=species:S:1:pos:R:3 pbc="T T T"
Y 0.000 0.000 0.000
Pu 2.037 1.176 5.139
Pu 6.111 3.528 4.272
Si 6.111 3.528 7.047
Si 2.037 1.176 2.364
Au 4.074 2.352 1.910
Au 4.074 2.352 7.501
```

Properties
- Calculated volume: 135.3 Å³ per cell
- Uncorrected formation energy: -364 meV per atom
- Total magnetization: 0.57 μB per formula unit
- Total energy: -7.8677 eV per atom

---

# 8
Entry from the Alexandria database: a relaxed structure of NaSrLaPb (PBE).

Structure (extended XYZ):
```
4
Lattice="-1.373 -2.106 5.205 -4.248 -3.886 0.517 1.247 -5.488 1.318" Properties=species:S:1:pos:R:3 pbc="T T T"
Pb -2.187 -5.740 3.520
Sr -3.280 -8.610 5.280
Na 0.000 0.000 0.000
La -1.093 -2.870 1.760
```

Properties
- Calculated volume: 136.6 Å³ per cell
- Total magnetization: 0.00 μB per formula unit
- Calculated formation energy: -0.27 eV/atom
- Total energy: -3.1829 eV per atom

---

# 9
Entry from the Alexandria database: a relaxed structure of AlGa2BBr (PBE).

Structure (extended XYZ):
```
5
Lattice="-3.434 -1.503 -3.286 -2.651 -2.298 3.821 -2.563 4.209 0.753" Properties=species:S:1:pos:R:3 pbc="T T T"
B -4.324 0.204 0.644
Ga -1.282 2.104 0.377
Ga -1.717 -0.752 -1.643
Br -1.326 -1.149 1.911
Al 0.000 0.000 0.000
```

Properties
- Calculated volume: 128.9 Å³ per cell
- Uncorrected formation energy: 1081 meV per atom
- Total magnetization: 0.33 μB per formula unit
- Total energy: -2.5479 eV per atom

---

# 10
Entry from the Alexandria database: a relaxed structure of K4LiZr3Te8 (PBE).

Structure (extended XYZ):
```
16
Lattice="8.554 0.000 0.000 0.000 9.571 0.716 -4.277 -4.277 6.049" Properties=species:S:1:pos:R:3 pbc="T T T"
K 4.277 0.000 0.000
K 2.138 -2.139 3.025
K 0.000 0.000 0.000
K -2.138 -2.139 3.025
Li 0.000 4.785 0.358
Zr 4.277 4.785 0.358
Zr 2.138 2.647 3.383
Zr -2.138 2.647 3.383
Te -2.107 2.563 6.326
Te 0.000 4.670 3.347
Te 0.000 0.568 3.425
Te 2.107 2.563 6.326
Te 2.170 2.730 0.439
Te 4.277 4.726 3.340
Te 4.277 0.623 3.419
Te 6.384 2.730 0.439
```

Properties
- Calculated volume: 521.4 Å³ per cell
- Uncorrected formation energy: -979 meV per atom
- Total magnetization: 0.00 μB per formula unit
- Total energy: -4.5470 eV per atom

---

# 11
Entry from the Alexandria database: a relaxed structure of PrSm6Y3Er2 (PBE).

Structure (extended XYZ):
```
12
Lattice="-5.890 -0.772 -1.916 2.602 -4.173 3.843 -2.716 7.775 8.596" Properties=species:S:1:pos:R:3 pbc="T T T"
Pr 0.000 0.000 0.000
Sm -5.918 2.695 6.925
Sm -3.144 -1.761 3.595
Sm -0.086 0.135 3.598
Sm -3.078 1.558 8.851
Sm -2.860 4.591 6.928
Sm -2.925 1.272 1.672
Y -0.174 0.283 7.179
Y -5.829 2.547 3.344
Y -3.002 1.415 5.262
Er -0.229 -3.039 1.923
Er -3.059 -1.906 0.004
```

Properties
- Calculated volume: 395.5 Å³ per cell
- Total magnetization: 0.00 μB per formula unit
- Calculated formation energy: 0.02 eV/atom
- Total energy: -5.1190 eV per atom

---

# 12
Entry from the Alexandria database: a relaxed structure of Ce2Pd4Pt (PBE).

Structure (extended XYZ):
```
14
Lattice="-3.634 -1.907 -0.339 0.938 -0.583 -6.787 4.464 -8.751 1.369" Properties=species:S:1:pos:R:3 pbc="T T T"
Ce 3.715 -7.126 0.255
Ce 1.687 -2.207 -5.673
Ce 1.867 -7.390 -3.461
Ce -0.099 -3.850 -2.296
Pd 1.917 -3.601 -0.299
Pd 3.485 -5.733 -5.119
Pd 1.031 -6.282 -0.733
Pd 0.737 -4.959 -5.024
Pd 2.566 -9.075 -1.475
Pd -0.798 -2.165 -4.281
Pd 0.704 -1.008 -1.884
Pd 4.698 -8.326 -3.534
Pt -1.817 -0.953 -0.169
Pt 2.701 -4.667 -2.709
```

Properties
- Calculated volume: 280.8 Å³ per cell
- Total magnetization: 0.73 μB per formula unit
- Calculated formation energy: -0.64 eV/atom
- Total energy: -6.1636 eV per atom